VASP calculation (PBE) on InCo4Au after structural relaxation.

## Properties
Its calculated formation energy is 0.1715 eV/atom. As for the density of states at the Fermi level: 7.44 states/eV/f.u. As for the symmetry: F-43m, No. 216. The raw total energy comes out at -5.5684 eV/atom.

Cell lengths 4.879, 4.879, 4.879 Å; angles 60.00, 60.00, 60.00 degrees
Atoms (fractional coordinates):
In (0.000, 0.000, 0.000)
Co (0.375, 0.375, 0.375)
Co (0.375, 0.375, 0.875)
Co (0.375, 0.875, 0.375)
Co (0.875, 0.375, 0.375)
Au (0.750, 0.750, 0.750)